Record 1
Compound: Ta2VIr2
Source: the Alexandria database
Functional: PBE
Structure: optimized geometry

The structure in CIF format:
```
data_Ta2VIr2
_symmetry_space_group_name_H-M 'P 4/m b m'
_symmetry_Int_Tables_number 127
_symmetry_space_group_name_Hall '-P 4 2ab'
_cell_length_a 7.513
_cell_length_b 7.513
_cell_length_c 2.985
_cell_angle_alpha 90.00
_cell_angle_beta 90.00
_cell_angle_gamma 90.00
loop_
_atom_site_label
_atom_site_fract_x
_atom_site_fract_y
_atom_site_fract_z
_atom_site_occupancy
Ta1 0.167 0.333 0.000 1
V1 0.000 0.000 0.500 1
Ir1 0.133 0.633 0.500 1
```

Record 2
Compound: Ta3V8Ir
Source: the Alexandria database
Functional: PBE
Structure: optimized geometry

The structure in CIF format:
```
data_Ta3V8Ir
_symmetry_space_group_name_H-M 'R 3 m'
_symmetry_Int_Tables_number 160
_symmetry_space_group_name_Hall 'R 3 -2"'
_cell_length_a 5.0212
_cell_length_b 5.0212
_cell_length_c 24.3046
_cell_angle_alpha 90.00
_cell_angle_beta 90.00
_cell_angle_gamma 120.00
loop_
_atom_site_label
_atom_site_fract_x
_atom_site_fract_y
_atom_site_fract_z
_atom_site_occupancy
Ta1 0.0000 0.0000 0.0000 1
Ta2 0.0000 0.0000 0.1247 1
Ta3 0.0000 0.0000 0.4995 1
V1 0.0000 0.0000 0.3118 1
V2 0.0000 0.0000 0.8132 1
V3 0.0005 0.5002 0.0608 1
V4 0.0001 0.5001 0.5635 1
Ir1 0.0000 0.0000 0.6233 1
```

Record 3
# Ta2V2Ir PBE optimized geometry
# distance to the lowest polymorph of the same formula	0.0	meV per atom
data_Ta2V2Ir
_symmetry_space_group_name_H-M 'P 4/m b m'
_symmetry_Int_Tables_number 127
_symmetry_space_group_name_Hall '-P 4 2ab'
_cell_length_a 6.332
_cell_length_b 6.332
_cell_length_c 4.030
_cell_angle_alpha 90.00
_cell_angle_beta 90.00
_cell_angle_gamma 90.00
loop_
_atom_site_label
_atom_site_fract_x
_atom_site_fract_y
_atom_site_fract_z
_atom_site_occupancy
Ta1 0.175 0.325 0.000 1
V1 0.132 0.632 0.500 1
Ir1 0.000 0.000 0.500 1

Record 4
# TaVIr2 PBE optimized geometry
# distance to the lowest polymorph of the same formula	297.8	meV per atom
data_TaVIr2
_symmetry_space_group_name_H-M 'F m -3 m'
_symmetry_Int_Tables_number 225
_symmetry_space_group_name_Hall '-F 4 2 3'
_cell_length_a 6.299
_cell_length_b 6.299
_cell_length_c 6.299
_cell_angle_alpha 90.00
_cell_angle_beta 90.00
_cell_angle_gamma 90.00
loop_
_atom_site_label
_atom_site_fract_x
_atom_site_fract_y
_atom_site_fract_z
_atom_site_occupancy
Ta1 0.000 0.000 0.000 1
V1 0.000 0.000 0.500 1
Ir1 0.250 0.250 0.250 1

Record 5
Compound: Ta2VIr
Source: the Alexandria database
Functional: PBE
Structure: optimized geometry

The structure in CIF format:
```
data_Ta2VIr
_symmetry_space_group_name_H-M 'P 4/m m m'
_symmetry_Int_Tables_number 123
_symmetry_space_group_name_Hall '-P 4 2'
_cell_length_a 4.448
_cell_length_b 4.448
_cell_length_c 3.246
_cell_angle_alpha 90.00
_cell_angle_beta 90.00
_cell_angle_gamma 90.00
loop_
_atom_site_label
_atom_site_fract_x
_atom_site_fract_y
_atom_site_fract_z
_atom_site_occupancy
Ta1 0.000 0.500 0.000 1
V1 0.000 0.000 0.500 1
Ir1 0.500 0.500 0.500 1
```

Record 6
# TaVIr2 PBE optimized geometry
# distance to the lowest polymorph of the same formula	4.2	meV per atom
data_TaVIr2
_symmetry_space_group_name_H-M 'P 4/m m m'
_symmetry_Int_Tables_number 123
_symmetry_space_group_name_Hall '-P 4 2'
_cell_length_a 3.978
_cell_length_b 3.978
_cell_length_c 3.810
_cell_angle_alpha 90.00
_cell_angle_beta 90.00
_cell_angle_gamma 90.00
loop_
_atom_site_label
_atom_site_fract_x
_atom_site_fract_y
_atom_site_fract_z
_atom_site_occupancy
Ta1 0.000 0.000 0.000 1
V1 0.500 0.500 0.000 1
Ir1 0.000 0.500 0.500 1

Record 7
Compound: TaV4Ir2
Source: the Alexandria database
Functional: PBE
Structure: optimized geometry

The structure in CIF format:
```
data_TaV4Ir2
_symmetry_space_group_name_H-M 'I 4/m m m'
_symmetry_Int_Tables_number 139
_symmetry_space_group_name_Hall '-I 4 2'
_cell_length_a 4.527
_cell_length_b 4.527
_cell_length_c 12.623
_cell_angle_alpha 90.00
_cell_angle_beta 90.00
_cell_angle_gamma 90.00
loop_
_atom_site_label
_atom_site_fract_x
_atom_site_fract_y
_atom_site_fract_z
_atom_site_occupancy
Ta1 0.000 0.000 0.000 1
V1 0.000 0.000 0.202 1
V2 0.000 0.500 0.000 1
Ir1 0.000 0.000 0.388 1
```

Record 8
Compound: Ta4V2Ir
Source: the Alexandria database
Functional: PBE
Structure: optimized geometry

The structure in CIF format:
```
data_Ta4V2Ir
_symmetry_space_group_name_H-M 'I 4/m m m'
_symmetry_Int_Tables_number 139
_symmetry_space_group_name_Hall '-I 4 2'
_cell_length_a 4.805
_cell_length_b 4.805
_cell_length_c 12.711
_cell_angle_alpha 90.00
_cell_angle_beta 90.00
_cell_angle_gamma 90.00
loop_
_atom_site_label
_atom_site_fract_x
_atom_site_fract_y
_atom_site_fract_z
_atom_site_occupancy
Ta1 0.000 0.000 0.201 1
Ta2 0.000 0.500 0.000 1
V1 0.000 0.000 0.396 1
Ir1 0.000 0.000 0.000 1
```

Record 9
Compound: TaV4Ir
Source: the Alexandria database
Functional: PBE
Structure: optimized geometry

The structure in CIF format:
```
data_TaV4Ir
_symmetry_space_group_name_H-M 'F -4 3 m'
_symmetry_Int_Tables_number 216
_symmetry_space_group_name_Hall 'F -4 2 3'
_cell_length_a 7.002
_cell_length_b 7.002
_cell_length_c 7.002
_cell_angle_alpha 90.00
_cell_angle_beta 90.00
_cell_angle_gamma 90.00
loop_
_atom_site_label
_atom_site_fract_x
_atom_site_fract_y
_atom_site_fract_z
_atom_site_occupancy
Ta1 0.000 0.000 0.000 1
V1 0.126 0.126 0.374 1
Ir1 0.250 0.250 0.750 1
```

Record 10
# TaVIr2 PBE optimized geometry
# distance to the lowest polymorph of the same formula	0.0	meV per atom
data_TaVIr2
_symmetry_space_group_name_H-M 'P 4/m m m'
_symmetry_Int_Tables_number 123
_symmetry_space_group_name_Hall '-P 4 2'
_cell_length_a 2.832
_cell_length_b 2.832
_cell_length_c 7.486
_cell_angle_alpha 90.00
_cell_angle_beta 90.00
_cell_angle_gamma 90.00
loop_
_atom_site_label
_atom_site_fract_x
_atom_site_fract_y
_atom_site_fract_z
_atom_site_occupancy
Ta1 0.000 0.000 0.000 1
V1 0.000 0.000 0.500 1
Ir1 0.500 0.500 0.270 1

Record 11
Compound: TaVIr2W
Source: the Alexandria database
Functional: PBE
Structure: optimized geometry

The structure in CIF format:
```
data_TaVIr2W
_symmetry_space_group_name_H-M 'P 4/m m m'
_symmetry_Int_Tables_number 123
_symmetry_space_group_name_Hall '-P 4 2'
_cell_length_a 4.707
_cell_length_b 4.707
_cell_length_c 4.811
_cell_angle_alpha 90.00
_cell_angle_beta 90.00
_cell_angle_gamma 90.00
loop_
_atom_site_label
_atom_site_fract_x
_atom_site_fract_y
_atom_site_fract_z
_atom_site_occupancy
Ta1 0.000 0.000 0.000 1
V1 0.500 0.500 0.000 1
Ir1 0.000 0.500 0.500 1
W1 0.000 0.000 0.500 1
```

Record 12
Compound: TaVIrW
Source: the Alexandria database
Functional: PBE
Structure: optimized geometry

The structure in CIF format:
```
data_TaVIrW
_symmetry_space_group_name_H-M 'F -4 3 m'
_symmetry_Int_Tables_number 216
_symmetry_space_group_name_Hall 'F -4 2 3'
_cell_length_a 6.289
_cell_length_b 6.289
_cell_length_c 6.289
_cell_angle_alpha 90.00
_cell_angle_beta 90.00
_cell_angle_gamma 90.00
loop_
_atom_site_label
_atom_site_fract_x
_atom_site_fract_y
_atom_site_fract_z
_atom_site_occupancy
Ta1 0.000 0.000 0.000 1
V1 0.000 0.000 0.500 1
Ir1 0.250 0.250 0.750 1
W1 0.250 0.250 0.250 1
```

Record 13
Compound: YTaV2Ir
Source: the Alexandria database
Functional: PBE
Structure: optimized geometry

The structure in CIF format:
```
data_YTaV2Ir
_symmetry_space_group_name_H-M 'P 4/m m m'
_symmetry_Int_Tables_number 123
_symmetry_space_group_name_Hall '-P 4 2'
_cell_length_a 4.738
_cell_length_b 4.738
_cell_length_c 4.934
_cell_angle_alpha 90.00
_cell_angle_beta 90.00
_cell_angle_gamma 90.00
loop_
_atom_site_label
_atom_site_fract_x
_atom_site_fract_y
_atom_site_fract_z
_atom_site_occupancy
Y1 0.000 0.000 0.000 1
Ta1 0.500 0.500 0.000 1
V1 0.000 0.500 0.500 1
Ir1 0.500 0.500 0.500 1
```

Record 14
Compound: TaVZn2Ir
Source: the Alexandria database
Functional: PBE
Structure: optimized geometry

The structure in CIF format:
```
data_TaVZn2Ir
_symmetry_space_group_name_H-M 'P 4/m m m'
_symmetry_Int_Tables_number 123
_symmetry_space_group_name_Hall '-P 4 2'
_cell_length_a 4.619
_cell_length_b 4.619
_cell_length_c 4.558
_cell_angle_alpha 90.00
_cell_angle_beta 90.00
_cell_angle_gamma 90.00
loop_
_atom_site_label
_atom_site_fract_x
_atom_site_fract_y
_atom_site_fract_z
_atom_site_occupancy
Ta1 0.000 0.000 0.000 1
V1 0.500 0.500 0.000 1
Zn1 0.000 0.500 0.500 1
Ir1 0.500 0.500 0.500 1
```

Record 15
Compound: Ta5IrW4
Source: the Alexandria database
Functional: PBE
Structure: optimized geometry

The structure in CIF format:
```
data_Ta5IrW4
_symmetry_space_group_name_H-M 'P 4/m m m'
_symmetry_Int_Tables_number 123
_symmetry_space_group_name_Hall '-P 4 2'
_cell_length_a 3.247
_cell_length_b 3.247
_cell_length_c 16.066
_cell_angle_alpha 90.00
_cell_angle_beta 90.00
_cell_angle_gamma 90.00
loop_
_atom_site_label
_atom_site_fract_x
_atom_site_fract_y
_atom_site_fract_z
_atom_site_occupancy
Ta1 0.000 0.000 0.000 1
Ta2 0.000 0.000 0.202 1
Ta3 0.000 0.000 0.401 1
Ir1 0.500 0.500 0.500 1
W1 0.500 0.500 0.101 1
W2 0.500 0.500 0.303 1
```

Record 16
Compound: Ta14IrW
Source: the Alexandria database
Functional: PBE
Structure: optimized geometry

The structure in CIF format:
```
data_Ta14IrW
_symmetry_space_group_name_H-M 'C m m m'
_symmetry_Int_Tables_number 65
_symmetry_space_group_name_Hall '-C 2 2'
_cell_length_a 6.569
_cell_length_b 9.338
_cell_length_c 9.284
_cell_angle_alpha 90.00
_cell_angle_beta 90.00
_cell_angle_gamma 90.00
loop_
_atom_site_label
_atom_site_fract_x
_atom_site_fract_y
_atom_site_fract_z
_atom_site_occupancy
Ta1 0.000 0.000 0.000 1
Ta2 0.000 0.249 0.249 1
Ta3 0.000 0.500 0.000 1
Ta4 0.248 0.000 0.257 1
Ta5 0.250 0.250 0.000 1
Ta6 0.250 0.250 0.500 1
Ir1 0.000 0.500 0.500 1
W1 0.000 0.000 0.500 1
```

Record 17
Compound: Ta4Ir5W
Source: the Alexandria database
Functional: PBE
Structure: optimized geometry

The structure in CIF format:
```
data_Ta4Ir5W
_symmetry_space_group_name_H-M 'P 4/m m m'
_symmetry_Int_Tables_number 123
_symmetry_space_group_name_Hall '-P 4 2'
_cell_length_a 2.858
_cell_length_b 2.858
_cell_length_c 19.498
_cell_angle_alpha 90.00
_cell_angle_beta 90.00
_cell_angle_gamma 90.00
loop_
_atom_site_label
_atom_site_fract_x
_atom_site_fract_y
_atom_site_fract_z
_atom_site_occupancy
Ta1 0.000 0.000 0.100 1
Ta2 0.000 0.000 0.300 1
Ir1 0.500 0.500 0.000 1
Ir2 0.500 0.500 0.200 1
Ir3 0.500 0.500 0.404 1
W1 0.000 0.000 0.500 1
```

Record 18
Compound: Ta3IrW2
Source: the Alexandria database
Functional: PBE
Structure: optimized geometry

The structure in CIF format:
```
data_Ta3IrW2
_symmetry_space_group_name_H-M 'P 4/m m m'
_symmetry_Int_Tables_number 123
_symmetry_space_group_name_Hall '-P 4 2'
_cell_length_a 3.249
_cell_length_b 3.249
_cell_length_c 9.581
_cell_angle_alpha 90.00
_cell_angle_beta 90.00
_cell_angle_gamma 90.00
loop_
_atom_site_label
_atom_site_fract_x
_atom_site_fract_y
_atom_site_fract_z
_atom_site_occupancy
Ta1 0.000 0.000 0.000 1
Ta2 0.000 0.000 0.333 1
Ir1 0.500 0.500 0.500 1
W1 0.500 0.500 0.170 1
```

Record 19
Compound: TaIr5W4
Source: the Alexandria database
Functional: PBE
Structure: optimized geometry

The structure in CIF format:
```
data_TaIr5W4
_symmetry_space_group_name_H-M 'P 4/m m m'
_symmetry_Int_Tables_number 123
_symmetry_space_group_name_Hall '-P 4 2'
_cell_length_a 2.793
_cell_length_b 2.793
_cell_length_c 19.701
_cell_angle_alpha 90.00
_cell_angle_beta 90.00
_cell_angle_gamma 90.00
loop_
_atom_site_label
_atom_site_fract_x
_atom_site_fract_y
_atom_site_fract_z
_atom_site_occupancy
Ta1 0.000 0.000 0.000 1
Ir1 0.500 0.500 0.105 1
Ir2 0.500 0.500 0.302 1
Ir3 0.500 0.500 0.500 1
W1 0.000 0.000 0.201 1
W2 0.000 0.000 0.400 1
```

Record 20
Compound: Ta4IrW2
Source: the Alexandria database
Functional: PBE
Structure: optimized geometry

The structure in CIF format:
```
data_Ta4IrW2
_symmetry_space_group_name_H-M 'I 4/m m m'
_symmetry_Int_Tables_number 139
_symmetry_space_group_name_Hall '-I 4 2'
_cell_length_a 6.338
_cell_length_b 6.338
_cell_length_c 6.433
_cell_angle_alpha 90.00
_cell_angle_beta 90.00
_cell_angle_gamma 90.00
loop_
_atom_site_label
_atom_site_fract_x
_atom_site_fract_y
_atom_site_fract_z
_atom_site_occupancy
Ta1 0.250 0.250 0.250 1
Ir1 0.000 0.000 0.000 1
W1 0.000 0.500 0.000 1
```

no.,calculated volume (Å³/cell),M_tot (μB/cell),formation enthalpy at 0 K (meV per atom)
1,168.5,0.5,-246
2,530.7,0.0,-166
3,161.6,0.0,18
4,249.9,11.5,-250
5,64.2,0.0,-359
6,60.3,0.0,-544
7,258.7,7.9,1026
8,293.5,0.0,1220
9,343.4,0.0,-152
10,60.0,0.2,-548
11,106.6,0.0,1759
12,248.8,0.0,-256
13,110.8,1.9,591
14,97.3,0.0,1039
15,169.4,0.0,-203
16,569.5,0.0,-120
17,159.3,0.0,-508
18,101.2,0.0,-259
19,153.7,0.0,-334
20,258.4,0.0,45